# AgRuF2, relaxed, DFT GGA-PBE
data_AgRuF2
_cell_length_a 6.043
_cell_length_b 6.043
_cell_length_c 6.043
_cell_angle_alpha 90.00
_cell_angle_beta 90.00
_cell_angle_gamma 90.00
_space_group_name_H-M_alt 'F m -3 m'
_space_group_IT_number 225
_space_group_name_Hall '-F 4 2 3'
loop_
_atom_site_label
_atom_site_fract_x
_atom_site_fract_y
_atom_site_fract_z
Ag1 0.000 0.000 0.000
Ru1 0.000 0.000 0.500
F1 0.250 0.250 0.250
# volume = 220.68 Å³ per cell
# total DFT energy (no corrections) = -4.22 eV/atom
# raw formation energy = -0.248 eV/atom



# AgRuF2, relaxed, DFT GGA-PBE
data_AgRuF2
_cell_length_a 2.8258
_cell_length_b 2.8258
_cell_length_c 25.2728
_cell_angle_alpha 90.00
_cell_angle_beta 90.00
_cell_angle_gamma 120.00
_space_group_name_H-M_alt 'R -3 m'
_space_group_IT_number 166
_space_group_name_Hall '-R 3 2"'
loop_
_atom_site_label
_atom_site_fract_x
_atom_site_fract_y
_atom_site_fract_z
Ag1 0.0000 0.0000 0.0000
Ru1 0.0000 0.0000 0.5000
F1 0.0000 0.0000 0.1018
# volume = 174.77 Å³ per cell
# total DFT energy (no corrections) = -4.46 eV/atom
# raw formation energy = -0.490 eV/atom



# Ag2RuF, relaxed, DFT GGA-PBE
data_Ag2RuF
_cell_length_a 5.386
_cell_length_b 5.645
_cell_length_c 5.719
_cell_angle_alpha 62.23
_cell_angle_beta 89.95
_cell_angle_gamma 62.45
_space_group_name_H-M_alt 'P 1'
_space_group_IT_number 1
loop_
_space_group_symop_operation_xyz
'x,y,z'
loop_
_atom_site_label
_atom_site_fract_x
_atom_site_fract_y
_atom_site_fract_z
Ag1 0.000 0.000 0.000
Ag2 0.005 0.484 0.033
Ag3 0.456 0.089 0.820
Ag4 0.471 0.554 0.912
Ru1 0.548 0.970 0.383
Ru2 0.873 0.083 0.475
F1 0.141 0.662 0.498
F2 0.688 0.518 0.439
# volume = 131.20 Å³ per cell
# total DFT energy (no corrections) = -4.22 eV/atom
# raw formation energy = -0.013 eV/atom



# Ag2RuF, relaxed, DFT GGA-PBE
data_Ag2RuF
_cell_length_a 4.974
_cell_length_b 5.291
_cell_length_c 5.604
_cell_angle_alpha 74.66
_cell_angle_beta 64.99
_cell_angle_gamma 79.20
_space_group_name_H-M_alt 'P 1'
_space_group_IT_number 1
loop_
_space_group_symop_operation_xyz
'x,y,z'
loop_
_atom_site_label
_atom_site_fract_x
_atom_site_fract_y
_atom_site_fract_z
Ag1 0.000 0.000 0.000
Ag2 0.015 0.585 0.706
Ag3 0.472 0.780 0.155
Ag4 0.495 0.361 0.856
Ru1 0.545 0.929 0.585
Ru2 0.974 0.102 0.489
F1 0.403 0.287 0.377
F2 0.970 0.444 0.218
# volume = 128.43 Å³ per cell
# total DFT energy (no corrections) = -4.25 eV/atom
# raw formation energy = -0.035 eV/atom



# Ag3RuF7, relaxed, DFT GGA-PBE
data_Ag3RuF7
_cell_length_a 8.018
_cell_length_b 7.615
_cell_length_c 6.555
_cell_angle_alpha 90.00
_cell_angle_beta 124.38
_cell_angle_gamma 90.00
_space_group_name_H-M_alt 'C 1 m 1'
_space_group_IT_number 8
loop_
_space_group_symop_operation_xyz
'x,y,z'
'x,-y,z'
'x+1/2,y+1/2,z'
'x+1/2,-y+1/2,z'
loop_
_atom_site_label
_atom_site_fract_x
_atom_site_fract_y
_atom_site_fract_z
Ag1 0.000 0.000 0.000
Ag2 0.496 0.243 0.514
Ru1 0.038 0.500 0.036
F1 0.129 0.279 0.252
F2 0.138 0.500 0.805
F3 0.344 0.500 0.253
F4 0.352 0.000 0.147
F5 0.366 0.186 0.788
# volume = 330.30 Å³ per cell
# total DFT energy (no corrections) = -4.10 eV/atom
# raw formation energy = -1.284 eV/atom



# AgRuF4, relaxed, DFT GGA-PBE
data_AgRuF4
_cell_length_a 8.048
_cell_length_b 8.048
_cell_length_c 2.870
_cell_angle_alpha 90.00
_cell_angle_beta 90.00
_cell_angle_gamma 90.00
_space_group_name_H-M_alt 'P 4/n m m'
_space_group_IT_number 129
loop_
_space_group_symop_operation_xyz
'x,y,z'
'-x,-y,-z'
'-y+1/2,x,z'
'y+1/2,-x,-z'
'-x+1/2,-y+1/2,z'
'x+1/2,y+1/2,-z'
'y,-x+1/2,z'
'-y,x+1/2,-z'
'x+1/2,-y,-z'
'-x+1/2,y,z'
'-y,-x,-z'
'y,x,z'
'-x,y+1/2,-z'
'x,-y+1/2,z'
'y+1/2,x+1/2,-z'
'-y+1/2,-x+1/2,z'
loop_
_atom_site_label
_atom_site_fract_x
_atom_site_fract_y
_atom_site_fract_z
Ag1 0.250 0.250 0.001
Ru1 0.250 0.750 0.500
F1 0.010 0.750 0.500
# volume = 185.88 Å³ per cell
# total DFT energy (no corrections) = -4.60 eV/atom
# raw formation energy = -1.333 eV/atom



# Ag2RuF, relaxed, DFT GGA-PBE
data_Ag2RuF
_cell_length_a 9.930
_cell_length_b 2.835
_cell_length_c 8.994
_cell_angle_alpha 90.00
_cell_angle_beta 98.42
_cell_angle_gamma 90.00
_space_group_name_H-M_alt 'C 1 m 1'
_space_group_IT_number 8
loop_
_space_group_symop_operation_xyz
'x,y,z'
'x,-y,z'
'x+1/2,y+1/2,z'
'x+1/2,-y+1/2,z'
loop_
_atom_site_label
_atom_site_fract_x
_atom_site_fract_y
_atom_site_fract_z
Ag1 0.000 0.000 0.000
Ag2 0.003 0.500 0.727
Ag3 0.022 0.000 0.457
Ag4 0.249 0.000 0.859
Ru1 0.265 0.500 0.574
Ru2 0.279 0.000 0.348
F1 0.159 0.500 0.202
F2 0.379 0.000 0.163
# volume = 250.51 Å³ per cell
# total DFT energy (no corrections) = -4.41 eV/atom
# raw formation energy = -0.198 eV/atom



# Ag2RuF, relaxed, DFT GGA-PBE
data_Ag2RuF
_cell_length_a 2.688
_cell_length_b 7.866
_cell_length_c 5.915
_cell_angle_alpha 90.00
_cell_angle_beta 90.00
_cell_angle_gamma 90.00
_space_group_name_H-M_alt 'A m m 2'
_space_group_IT_number 38
loop_
_space_group_symop_operation_xyz
'x,y,z'
'-x,-y,z'
'-x,y,z'
'x,-y,z'
'x,y+1/2,z+1/2'
'-x,-y+1/2,z+1/2'
'-x,y+1/2,z+1/2'
'x,-y+1/2,z+1/2'
loop_
_atom_site_label
_atom_site_fract_x
_atom_site_fract_y
_atom_site_fract_z
Ag1 0.000 0.194 0.000
Ru1 0.500 0.000 0.661
F1 0.500 0.000 0.324
# volume = 125.08 Å³ per cell
# total DFT energy (no corrections) = -4.21 eV/atom
# raw formation energy = 0.002 eV/atom



# AgRuF2, relaxed, DFT GGA-PBE
data_AgRuF2
_cell_length_a 2.7477
_cell_length_b 2.7477
_cell_length_c 25.8382
_cell_angle_alpha 90.00
_cell_angle_beta 90.00
_cell_angle_gamma 120.00
_space_group_name_H-M_alt 'R -3 m'
_space_group_IT_number 166
_space_group_name_Hall '-R 3 2"'
loop_
_atom_site_label
_atom_site_fract_x
_atom_site_fract_y
_atom_site_fract_z
Ag1 0.0000 0.0000 0.0000
Ru1 0.0000 0.0000 0.5000
F1 0.0000 0.0000 0.4259
# volume = 168.94 Å³ per cell
# total DFT energy (no corrections) = -4.68 eV/atom
# raw formation energy = -0.716 eV/atom



# Ag2RuF, relaxed, DFT GGA-PBE
data_Ag2RuF
_cell_length_a 10.562
_cell_length_b 2.717
_cell_length_c 4.970
_cell_angle_alpha 90.00
_cell_angle_beta 117.93
_cell_angle_gamma 90.00
_space_group_name_H-M_alt 'C 1 m 1'
_space_group_IT_number 8
loop_
_space_group_symop_operation_xyz
'x,y,z'
'x,-y,z'
'x+1/2,y+1/2,z'
'x+1/2,-y+1/2,z'
loop_
_atom_site_label
_atom_site_fract_x
_atom_site_fract_y
_atom_site_fract_z
Ag1 0.000 0.000 0.000
Ag2 0.213 0.000 0.713
Ru1 0.450 0.000 0.450
F1 0.275 0.500 0.274
# volume = 125.99 Å³ per cell
# total DFT energy (no corrections) = -4.22 eV/atom
# raw formation energy = -0.004 eV/atom



# AgRu2F, relaxed, DFT GGA-PBE
data_AgRu2F
_cell_length_a 6.254
_cell_length_b 6.254
_cell_length_c 6.254
_cell_angle_alpha 90.00
_cell_angle_beta 90.00
_cell_angle_gamma 90.00
_space_group_name_H-M_alt 'F m -3 m'
_space_group_IT_number 225
_space_group_name_Hall '-F 4 2 3'
loop_
_atom_site_label
_atom_site_fract_x
_atom_site_fract_y
_atom_site_fract_z
Ag1 0.000 0.000 0.000
Ru1 0.250 0.250 0.250
F1 0.000 0.000 0.500
# volume = 244.64 Å³ per cell
# total DFT energy (no corrections) = -5.03 eV/atom
# raw formation energy = 0.785 eV/atom



# Ag2RuF, relaxed, DFT GGA-PBE
data_Ag2RuF
_cell_length_a 2.813
_cell_length_b 5.310
_cell_length_c 8.627
_cell_angle_alpha 75.43
_cell_angle_beta 89.44
_cell_angle_gamma 89.97
_space_group_name_H-M_alt 'P 1'
_space_group_IT_number 1
loop_
_space_group_symop_operation_xyz
'x,y,z'
loop_
_atom_site_label
_atom_site_fract_x
_atom_site_fract_y
_atom_site_fract_z
Ag1 0.000 0.000 0.000
Ag2 0.009 0.777 0.742
Ag3 0.491 0.744 0.272
Ag4 0.508 0.306 0.730
Ru1 0.499 0.469 0.029
Ru2 0.992 0.256 0.269
F1 0.979 0.913 0.462
F2 0.991 0.379 0.476
# volume = 124.70 Å³ per cell
# total DFT energy (no corrections) = -4.40 eV/atom
# raw formation energy = -0.190 eV/atom



Question: raw formation energy of number 1 (AgRuF2)?
Answer: -0.248 eV/atom



Please write out number 1 again, unchanged.
# AgRuF2, relaxed, DFT GGA-PBE
data_AgRuF2
_cell_length_a 6.043
_cell_length_b 6.043
_cell_length_c 6.043
_cell_angle_alpha 90.00
_cell_angle_beta 90.00
_cell_angle_gamma 90.00
_space_group_name_H-M_alt 'F m -3 m'
_space_group_IT_number 225
_space_group_name_Hall '-F 4 2 3'
loop_
_atom_site_label
_atom_site_fract_x
_atom_site_fract_y
_atom_site_fract_z
Ag1 0.000 0.000 0.000
Ru1 0.000 0.000 0.500
F1 0.250 0.250 0.250
# volume = 220.68 Å³ per cell
# total DFT energy (no corrections) = -4.22 eV/atom
# raw formation energy = -0.248 eV/atom